No. 1
First-principles (PBE-GGA) data for an optimized crystal structure of Pm4YHo7, as listed in Alexandria via LeMat-Bulk.

Cell: 6.5494 6.8346 9.0547 Å, 85.21 77.26 81.83°
Space group P-1 (No. 2)
One atom of each set of equivalent atoms:
Pm 0.1367 0.3067 0.2851 x2
Pm 0.3394 0.8847 0.6919 x2
Y 0.5000 0.5000 0.0000 x1
Ho 0.0129 0.2522 0.9501 x2
Ho 0.1829 0.7985 0.3573 x2
Ho 0.3118 0.3943 0.6163 x2
Ho 0.5000 0.0000 0.0000 x1

No. 2
First-principles (PBE-GGA) data for an optimized crystal structure of Pm3Y2Ho2, as listed in Alexandria via LeMat-Bulk.

Cell: 11.9104 3.5925 10.7785 Å, 90.00 95.92 90.00°
Space group C2/m (No. 12)
One atom of each set of equivalent atoms:
Pm 0.0000 0.0000 0.0000 x2
Pm 0.1422 0.0000 0.5699 x4
Y 0.2148 0.5000 0.8572 x4
Ho 0.0714 0.5000 0.2845 x4

Number 1: DOS at the Fermi energy 19.2 states/eV/f.u., energy relative to the elements 86 meV/atom, offset from the most stable computed form 0 meV/atom. Number 2: DOS at the Fermi energy 8.9 states/eV/f.u., energy relative to the elements 17 meV/atom, offset from the most stable computed form 0 meV/atom.